# 1
First-principles (PBE) data for an optimized crystal structure of VInAu6, as listed in Alexandria.

Results
The density comes out at 15.33 g cm⁻³. The value obtained for the density of states at the Fermi level is 6.57 states/eV/cell. Its space group is P4/mmm (123). The calculation puts the uncorrected energy at -31.57 eV/f.u.

Cell lengths 4.227, 4.227, 8.169 Å; angles 90.00, 90.00, 90.00 degrees
Site moments in Bohr magnetons follow the coordinates.
Atoms (fractional coordinates):
Au 0.000 0.500 0.741  0.03
Au 0.500 0.000 0.259  0.03
Au 0.000 0.500 0.259  0.03
Au 0.500 0.500 0.000  0.00
Au 0.500 0.500 0.500  0.06
Au 0.500 0.000 0.741  0.03
In 0.000 0.000 0.000  -0.01
V 0.000 0.000 0.500  2.41

=====

# 2
First-principles (PBE) data for an optimized crystal structure of VIn2Au, as listed in Alexandria.

Results
The calculation puts the energy above the most stable polymorph in this dataset at 0.0 meV per atom. The density comes out at 10.05 g cm⁻³. The value obtained for the density of states at the Fermi level is 2.91 states/eV/cell. Its space group is Fm-3m (225). The calculation puts the uncorrected energy at -17.13 eV/f.u.

Cell lengths 4.814, 4.814, 4.814 Å; angles 60.00, 60.00, 60.00 degrees
Site moments in Bohr magnetons follow the coordinates.
Atoms (fractional coordinates):
In 0.250 0.250 0.250  -0.03
In 0.750 0.750 0.750  -0.03
Au 0.500 0.500 0.500  -0.03
V 0.000 0.000 0.000  2.53